Record 1
Here is a geometry-optimized PmB2Ru2 structure from Alexandria via LeMat-Bulk. Energies are from PBE-GGA.

Unit cell a=6.567 b=9.106 c=5.957 alpha=90.00 beta=123.31 gamma=90.00
Space group C2/c (No. 15)
Inequivalent atoms, fractional coordinates:
1 Pm 0.000 0.125 0.250
2 B 0.000 0.191 0.750
3 B 0.000 0.441 0.250
4 Ru 0.138 0.375 0.024

Summary:
The calculation puts the energy above the most stable polymorph in this dataset at 0 meV/atom. The formation energy from the elements comes out at -251 kJ/mol of formula units. The value obtained for the density of states at the Fermi level is 0.496 states/eV/atom.

***

Record 2
Here is a geometry-optimized Pm2B7Ru12 structure from Alexandria via LeMat-Bulk. Energies are from PBE-GGA.

Unit cell a=10.3052 b=10.3052 c=2.9189 alpha=90.00 beta=90.00 gamma=120.00
Space group P-6 (No. 174)
Inequivalent atoms, fractional coordinates:
1 Pm 0.0000 0.0000 0.0000
2 Pm 0.3333 0.6667 0.5000
3 B 0.0947 0.6627 0.0000
4 B 0.2800 0.0706 0.5000
5 B 0.6667 0.3333 0.5000
6 Ru 0.0076 0.7461 0.5000
7 Ru 0.0871 0.3469 0.0000
8 Ru 0.4732 0.2320 0.0000
9 Ru 0.5099 0.0294 0.5000

Summary:
The formation energy from the elements comes out at -273 kJ/mol of formula units. The value obtained for the density of states at the Fermi level is 0.612 states/eV/atom.

***

Record 3
Here is a geometry-optimized PmSiBRu2 structure from Alexandria via LeMat-Bulk. Energies are from PBE-GGA.

Unit cell a=4.015 b=11.147 c=7.201 alpha=90.00 beta=90.00 gamma=90.00
Space group Cmcm (No. 63)
Inequivalent atoms, fractional coordinates:
1 Pm 0.000 0.052 0.250
2 Si 0.000 0.226 0.750
3 B 0.000 0.500 0.000
4 Ru 0.000 0.329 0.060

Summary:
The uncorrected formation energy is -595.9 meV per atom. The value obtained for the density of states at the Fermi level is 1.010 states/eV/atom.

***

Record 4
Here is a geometry-optimized PmSi2BRu2 structure from Alexandria via LeMat-Bulk. Energies are from PBE-GGA.

Unit cell a=4.136 b=4.136 c=5.370 alpha=90.00 beta=90.00 gamma=90.00
Space group P4/mmm (No. 123)
Inequivalent atoms, fractional coordinates:
1 Pm 0.000 0.000 0.000
2 Si 0.500 0.500 0.223
3 B 0.000 0.000 0.500
4 Ru 0.000 0.500 0.500

Summary:
The uncorrected formation energy is -675.6 meV per atom. The value obtained for the density of states at the Fermi level is 0.400 states/eV/atom.

***

Record 5
Here is a geometry-optimized Pm2Si2BRu2 structure from Alexandria via LeMat-Bulk. Energies are from PBE-GGA.

Unit cell a=11.022 b=4.216 c=7.122 alpha=90.00 beta=129.25 gamma=90.00
Space group C2/m (No. 12)
Inequivalent atoms, fractional coordinates:
1 Pm 0.065 0.000 0.326
2 Si 0.162 0.500 0.104
3 B 0.000 0.500 0.500
4 Ru 0.211 0.500 0.818

Summary:
The uncorrected formation energy is -782.6 meV per atom. The value obtained for the density of states at the Fermi level is 0.406 states/eV/atom.

***

Record 6
Here is a geometry-optimized Pm2SiB2Ru5 structure from Alexandria via LeMat-Bulk. Energies are from PBE-GGA.

Unit cell a=9.629 b=9.629 c=3.109 alpha=90.00 beta=90.00 gamma=90.00
Space group P4/mbm (No. 127)
Inequivalent atoms, fractional coordinates:
1 Pm 0.177 0.323 0.000
2 Si 0.000 0.000 0.000
3 B 0.122 0.622 0.000
4 Ru 0.000 0.500 0.500
5 Ru 0.067 0.786 0.500

Summary:
The uncorrected formation energy is -406.5 meV per atom. The value obtained for the density of states at the Fermi level is 0.907 states/eV/atom.

***

Record 7
Here is a geometry-optimized Pm3Sn2BRu3 structure from Alexandria via LeMat-Bulk. Energies are from PBE-GGA.

Unit cell a=7.6608 b=7.6608 c=3.6699 alpha=90.00 beta=90.00 gamma=120.00
Space group P-62m (No. 189)
Inequivalent atoms, fractional coordinates:
1 Pm 0.0000 0.6496 0.0000
2 Sn 0.3333 0.6667 0.5000
3 B 0.0000 0.0000 0.0000
4 Ru 0.0000 0.2097 0.5000

Summary:
The formation energy from the elements comes out at -280 kJ/mol of formula units. The value obtained for the density of states at the Fermi level is 0.490 states/eV/atom.

***

Record 8
Here is a geometry-optimized Pm3Tl2BRu3 structure from Alexandria via LeMat-Bulk. Energies are from PBE-GGA.

Unit cell a=7.8637 b=7.8637 c=3.5531 alpha=90.00 beta=90.00 gamma=120.00
Space group P-62m (No. 189)
Inequivalent atoms, fractional coordinates:
1 Pm 0.0000 0.3393 0.0000
2 Tl 0.3333 0.6667 0.5000
3 B 0.0000 0.0000 0.0000
4 Ru 0.0000 0.7949 0.5000

Summary:
The formation energy from the elements comes out at -134 kJ/mol of formula units. The value obtained for the density of states at the Fermi level is 0.566 states/eV/atom.

***

Record 9
Here is a geometry-optimized Pm3Zn2BRu3 structure from Alexandria via LeMat-Bulk. Energies are from PBE-GGA.

Unit cell a=7.4360 b=7.4360 c=3.5004 alpha=90.00 beta=90.00 gamma=120.00
Space group P-62m (No. 189)
Inequivalent atoms, fractional coordinates:
1 Pm 0.0000 0.3610 0.0000
2 Zn 0.3333 0.6667 0.5000
3 B 0.0000 0.0000 0.0000
4 Ru 0.0000 0.7805 0.5000

Summary:
The formation energy from the elements comes out at -175 kJ/mol of formula units. The value obtained for the density of states at the Fermi level is 0.902 states/eV/atom.

***

Record 10
Here is a geometry-optimized Pm2ZnB2Ru5 structure from Alexandria via LeMat-Bulk. Energies are from PBE-GGA.

Unit cell a=9.700 b=9.700 c=3.158 alpha=90.00 beta=90.00 gamma=90.00
Space group P4/mbm (No. 127)
Inequivalent atoms, fractional coordinates:
1 Pm 0.176 0.324 0.000
2 Zn 0.000 0.000 0.000
3 B 0.123 0.623 0.000
4 Ru 0.000 0.500 0.500
5 Ru 0.070 0.779 0.500

Summary:
The formation energy from the elements comes out at -237 kJ/mol of formula units. The value obtained for the density of states at the Fermi level is 1.164 states/eV/atom.

***

Record 11
Here is a geometry-optimized PmB2S4 structure from Alexandria via LeMat-Bulk. Energies are from PBE-GGA.

Unit cell a=7.046 b=7.046 c=5.038 alpha=90.00 beta=90.00 gamma=90.00
Space group I4/m (No. 87)
Inequivalent atoms, fractional coordinates:
1 Pm 0.000 0.000 0.000
2 B 0.000 0.500 0.250
3 S 0.123 0.669 0.500

Summary:
The uncorrected formation energy is -657.4 meV per atom. The value obtained for the density of states at the Fermi level is 0.507 states/eV/atom.

***

Record 12
Here is a geometry-optimized Pm2B2S5 structure from Alexandria via LeMat-Bulk. Energies are from PBE-GGA.

Unit cell a=15.742 b=3.682 c=7.615 alpha=90.00 beta=108.88 gamma=90.00
Space group C2/m (No. 12)
Inequivalent atoms, fractional coordinates:
1 Pm 0.131 0.000 0.015
2 B 0.206 0.500 0.561
3 S 0.000 0.500 0.000
4 S 0.169 0.000 0.425
5 S 0.179 0.500 0.783

Summary:
The uncorrected formation energy is -929.6 meV per atom. The value obtained for the density of states at the Fermi level is 0.224 states/eV/atom.

***

Record 13
Here is a geometry-optimized Pm6BS12 structure from Alexandria via LeMat-Bulk. Energies are from PBE-GGA.

Unit cell a=11.8878 b=11.8878 c=11.1545 alpha=90.00 beta=90.00 gamma=120.00
Space group R-3 (No. 148, hexagonal axes)
Inequivalent atoms, fractional coordinates:
1 Pm 0.0546 0.6038 0.3189
2 B 0.0000 0.0000 0.0000
3 S 0.0436 0.8207 0.4013
4 S 0.0499 0.8695 0.8955

Summary:
The uncorrected formation energy is -1361.3 meV per atom. The value obtained for the density of states at the Fermi level is 0.919 states/eV/atom.

***

Record 14
Here is a geometry-optimized Pm2BS4 structure from Alexandria via LeMat-Bulk. Energies are from PBE-GGA.

Unit cell a=6.428 b=6.110 c=7.539 alpha=90.00 beta=107.10 gamma=90.00
Space group P2_1/m (No. 11)
Inequivalent atoms, fractional coordinates:
1 Pm 0.230 0.250 0.435
2 Pm 0.260 0.250 0.939
3 B 0.287 0.750 0.201
4 S 0.109 0.750 0.377
5 S 0.120 0.750 0.935
6 S 0.482 0.507 0.255

Summary:
The uncorrected formation energy is -1376.9 meV per atom. The value obtained for the density of states at the Fermi level is 0.224 states/eV/atom.

***

Record 15
Here is a geometry-optimized PmBS2 structure from Alexandria via LeMat-Bulk. Energies are from PBE-GGA.

Unit cell a=3.2858 b=3.2858 c=23.5958 alpha=90.00 beta=90.00 gamma=120.00
Space group R-3m (No. 166, hexagonal axes)
Inequivalent atoms, fractional coordinates:
1 Pm 0.0000 0.0000 0.0000
2 B 0.0000 0.0000 0.5000
3 S 0.0000 0.0000 0.1178

Summary:
The uncorrected formation energy is 127.7 meV per atom. The value obtained for the density of states at the Fermi level is 0.336 states/eV/atom.

***

Record 16
Here is a geometry-optimized PmB2S6 structure from Alexandria via LeMat-Bulk. Energies are from PBE-GGA.

Unit cell a=13.855 b=9.393 c=6.078 alpha=90.00 beta=94.56 gamma=90.00
Space group C2/c (No. 15)
Inequivalent atoms, fractional coordinates:
1 Pm 0.000 0.149 0.250
2 B 0.233 0.077 0.648
3 S 0.100 0.102 0.662
4 S 0.195 0.270 0.218
5 S 0.213 0.434 0.653

Summary:
The uncorrected formation energy is -558.0 meV per atom. The value obtained for the density of states at the Fermi level is 0.339 states/eV/atom.

***

Record 17
Here is a geometry-optimized PmBS structure from Alexandria via LeMat-Bulk. Energies are from PBE-GGA.

Unit cell a=8.976 b=4.004 c=7.887 alpha=90.00 beta=119.56 gamma=90.00
Space group C2/m (No. 12)
Inequivalent atoms, fractional coordinates:
1 Pm 0.226 0.000 0.207
2 B 0.054 0.500 0.943
3 S 0.077 0.500 0.334

Summary:
The uncorrected formation energy is -914.2 meV per atom. The value obtained for the density of states at the Fermi level is 0.054 states/eV/atom.

***

Record 18
Here is a geometry-optimized PmBS4 structure from Alexandria via LeMat-Bulk. Energies are from PBE-GGA.

Unit cell a=8.411 b=7.084 c=8.841 alpha=90.00 beta=90.00 gamma=90.00
Space group Cmcm (No. 63)
Inequivalent atoms, fractional coordinates:
1 Pm 0.000 0.158 0.250
2 B 0.000 0.352 0.750
3 S 0.000 0.191 0.577
4 S 0.187 0.498 0.250

Summary:
The uncorrected formation energy is -740.5 meV per atom. The value obtained for the density of states at the Fermi level is 0.677 states/eV/atom.

***

Record 19
Here is a geometry-optimized Pm8BSe4S3 structure from Alexandria via LeMat-Bulk. Energies are from PBE-GGA.

Unit cell a=8.1615 b=8.1615 c=20.4850 alpha=90.00 beta=90.00 gamma=120.00
Space group R-3m (No. 166, hexagonal axes)
Inequivalent atoms, fractional coordinates:
1 Pm 0.0000 0.0000 0.2436
2 Pm 0.0174 0.5087 0.2411
3 B 0.0000 0.0000 0.5000
4 Se 0.0000 0.0000 0.0000
5 Se 0.0000 0.5000 0.0000
6 S 0.0000 0.5000 0.5000

Summary:
The uncorrected formation energy is -1746.5 meV per atom. The value obtained for the density of states at the Fermi level is 0.403 states/eV/atom.

***

Record 20
Here is a geometry-optimized Pm3BSb structure from Alexandria via LeMat-Bulk. Energies are from PBE-GGA.

Unit cell a=5.146 b=5.146 c=5.146 alpha=90.00 beta=90.00 gamma=90.00
Space group Pm-3m (No. 221)
Inequivalent atoms, fractional coordinates:
1 Pm 0.000 0.000 0.500
2 B 0.000 0.000 0.000
3 Sb 0.500 0.500 0.500

Summary:
The uncorrected formation energy is -453.1 meV per atom. The value obtained for the density of states at the Fermi level is 0.655 states/eV/atom.